[1]
# HfCNF2 | the Alexandria database | PBE-GGA | optimized geometry
# - VASP energy: -32.71 eV/cell
data_HfCNF2
_chemical_formula_sum 'Hf1 C1 N1 F2'
_space_group_name_H-M_alt 'P 4/m m m'
_space_group_IT_number 123
_space_group_name_Hall '-P 4 2'
_cell_length_a 4.743
_cell_length_b 4.743
_cell_length_c 2.500
_cell_angle_alpha 90.00
_cell_angle_beta 90.00
_cell_angle_gamma 90.00
loop_
_atom_site_label
_atom_site_type_symbol
_atom_site_fract_x
_atom_site_fract_y
_atom_site_fract_z
_atom_site_occupancy
Hf1 Hf 0.000 0.000 0.000 1
C1 C 0.500 0.500 0.500 1
N1 N 0.500 0.500 0.000 1
F1 F 0.000 0.500 0.500 1

=====

[2]
# HfCN2F | the Alexandria database | PBE-GGA | optimized geometry
# - VASP energy: -35.24 eV/cell
data_HfCN2F
_chemical_formula_sum 'Hf1 C1 N2 F1'
_space_group_name_H-M_alt 'P 4/m m m'
_space_group_IT_number 123
_space_group_name_Hall '-P 4 2'
_cell_length_a 3.585
_cell_length_b 3.585
_cell_length_c 3.403
_cell_angle_alpha 90.00
_cell_angle_beta 90.00
_cell_angle_gamma 90.00
loop_
_atom_site_label
_atom_site_type_symbol
_atom_site_fract_x
_atom_site_fract_y
_atom_site_fract_z
_atom_site_occupancy
Hf1 Hf 0.000 0.000 0.000 1
C1 C 0.500 0.500 0.500 1
N1 N 0.000 0.500 0.500 1
F1 F 0.500 0.500 0.000 1

=====

[3]
# HfCNF2 | the Alexandria database | PBE-GGA | optimized geometry
# - VASP energy: -33.60 eV/cell
data_HfCNF2
_chemical_formula_sum 'Hf1 C1 N1 F2'
_space_group_name_H-M_alt 'P 4/m m m'
_space_group_IT_number 123
_space_group_name_Hall '-P 4 2'
_cell_length_a 4.062
_cell_length_b 4.062
_cell_length_c 4.258
_cell_angle_alpha 90.00
_cell_angle_beta 90.00
_cell_angle_gamma 90.00
loop_
_atom_site_label
_atom_site_type_symbol
_atom_site_fract_x
_atom_site_fract_y
_atom_site_fract_z
_atom_site_occupancy
Hf1 Hf 0.000 0.000 0.000 1
C1 C 0.500 0.500 0.500 1
N1 N 0.000 0.000 0.500 1
F1 F 0.000 0.500 0.000 1

=====

[4]
# HfCN2F | the Alexandria database | PBE-GGA | optimized geometry
# - VASP energy: -33.60 eV/cell
data_HfCN2F
_chemical_formula_sum 'Hf1 C1 N2 F1'
_space_group_name_H-M_alt 'P 4/m m m'
_space_group_IT_number 123
_space_group_name_Hall '-P 4 2'
_cell_length_a 4.257
_cell_length_b 4.257
_cell_length_c 4.023
_cell_angle_alpha 90.00
_cell_angle_beta 90.00
_cell_angle_gamma 90.00
loop_
_atom_site_label
_atom_site_type_symbol
_atom_site_fract_x
_atom_site_fract_y
_atom_site_fract_z
_atom_site_occupancy
Hf1 Hf 0.000 0.000 0.000 1
C1 C 0.500 0.500 0.500 1
N1 N 0.000 0.500 0.000 1
F1 F 0.000 0.000 0.500 1

=====

Among the records above, which one has the highest VASP energy? number 1

=====

The highest VASP energy belongs to which entry? number 1